Record 1
Density functional theory data (GGA-PBE) for CsAcAu10 after structural relaxation.

Summary:
Calculated density: 13.67 g cm⁻³
Calculated volume: 23.6 Å³/atom
Magnetization: 0.000 μB per cell
E_form: -0.310 eV per atom
SG: No. 47
E: -0.25389 Ry/atom

Cell lengths 4.4084, 6.2201, 10.3206 Å; angles 90.00, 90.00, 90.00 degrees
Last column: nearest neighbours and their distance in Å.
Sites, in units of the cell vectors:
Cs  0.0000  0.0000  0.0000  10 Au 3.44-3.81
Ac  0.0000  0.5000  0.5000  18 Au 3.41-3.81
Au  0.0000  0.0000  0.3331  6 Au 2.80-2.84
Au  0.0000  0.5000  0.8302  6 Au 2.82-2.85
Au  0.0000  0.5000  0.1698  6 Au 2.82-2.85
Au  0.0000  0.0000  0.6669  6 Au 2.80-2.84
Au  0.5000  0.0000  0.5000  8 Au 2.80-2.85
Au  0.5000  0.5000  0.0000  4 Au 2.82
Au  0.5000  0.2716  0.2776  6 Au 2.84-2.85
Au  0.5000  0.7284  0.7224  6 Au 2.84-2.85
Au  0.5000  0.7284  0.2776  6 Au 2.84-2.85
Au  0.5000  0.2716  0.7224  6 Au 2.84-2.85

=====

Record 2
Density functional theory data (GGA-PBE) for SnRhSeN2 after structural relaxation.

Summary:
Calculated density: 5.91 g cm⁻³
Calculated volume: 18.5 Å³/atom
Magnetization: 3.915 μB per cell
Offset from the most stable computed form: 0.604 eV per atom
SG: No. 123
Uncorrected formation energy: 1.525 eV per atom
E: -0.35077 Ry/atom

Cell lengths 4.0292, 4.0292, 5.6849 Å; angles 90.00, 90.00, 90.00 degrees
Last column: nearest neighbours and their distance in Å.
Sites, in units of the cell vectors:
Rh  0.5000  0.5000  0.5000  4 Se 2.85
Sn  0.0000  0.0000  0.0000  4 N 2.01
Se  0.0000  0.0000  0.5000  2 Sn 2.84, 4 Rh 2.85
N  0.0000  0.5000  0.0000  2 Sn 2.01
N  0.5000  0.0000  0.0000  2 Sn 2.01

=====

Record 3
Density functional theory data (GGA-PBE) for KLiBi2Te4 after structural relaxation.

Summary:
Calculated density: 5.83 g cm⁻³
Calculated volume: 34.7 Å³/atom
Magnetization: 0.000 μB per cell
SG: No. 63
Uncorrected formation energy: -0.543 eV per atom
E: -0.25435 Ry/atom

Cell lengths 4.5523, 7.9526, 16.0112 Å; angles 90.00, 90.00, 106.63 degrees
Last column: nearest neighbours and their distance in Å.
Sites, in units of the cell vectors:
K  0.1124  0.2249  0.7500  6 Te 3.47-3.67
K  0.8876  0.7751  0.2500  6 Te 3.47-3.67
Li  0.8456  0.6911  0.7500  4 Te 2.70-2.82
Li  0.1544  0.3089  0.2500  4 Te 2.70-2.82
Bi  0.3657  0.7314  0.5655  6 Te 3.13-3.24
Bi  0.6343  0.2686  0.0655  6 Te 3.13-3.24
Bi  0.6343  0.2686  0.4345  6 Te 3.13-3.24
Bi  0.3657  0.7314  0.9345  6 Te 3.13-3.24
Te  0.2675  0.5351  0.1107  1 Li 2.82, 2 Bi 3.13
Te  0.7325  0.4649  0.6107  1 Li 2.82, 2 Bi 3.13
Te  0.7325  0.4649  0.8893  1 Li 2.82, 2 Bi 3.13
Te  0.2675  0.5351  0.3893  1 Li 2.82, 2 Bi 3.13
Te  0.0000  0.0000  0.5000  4 Bi 3.24
Te  0.0000  0.0000  0.0000  4 Bi 3.24
Te  0.4410  0.8819  0.7500  2 Li 2.70
Te  0.5590  0.1181  0.2500  2 Li 2.70

=====

Record 4
Density functional theory data (GGA-PBE) for BeAgSe2 after structural relaxation.

Summary:
Calculated density: 6.29 g cm⁻³
Calculated volume: 18.1 Å³/atom
Magnetization: 0.000 μB per cell
SG: No. 123
Uncorrected formation energy: 0.473 eV per atom
E: -0.21412 Ry/atom

Cell lengths 3.3624, 4.6434, 4.6434 Å; angles 90.00, 90.00, 90.00 degrees
Last column: nearest neighbours and their distance in Å.
Sites, in units of the cell vectors:
Be  0.5000  0.0000  0.5000  8 Se 2.87
Se  0.0000  0.0000  0.0000  4 Be 2.87, 4 Ag 2.87
Se  0.0000  0.5000  0.5000  4 Be 2.87, 4 Ag 2.87
Ag  0.5000  0.5000  0.0000  8 Se 2.87

=====

Record 5
Density functional theory data (GGA-PBE) for La2BeTlIr after structural relaxation.

Summary:
Calculated density: 8.19 g cm⁻³
Calculated volume: 27.7 Å³/atom
Magnetization: 0.000 μB per cell
E_form: -0.343 eV per atom
SG: No. 123
E: -0.38990 Ry/atom

Cell lengths 5.5945, 5.5945, 4.4259 Å; angles 90.00, 90.00, 90.00 degrees
Last column: nearest neighbours and their distance in Å.
Sites, in units of the cell vectors:
Be  0.0000  0.0000  0.5000  2 Ir 2.21
Tl  0.5000  0.5000  0.5000  8 La 3.57, 4 Be 3.96
Ir  0.0000  0.0000  0.0000  2 Be 2.21
La  0.0000  0.5000  0.0000  2 Ir 2.80
La  0.5000  0.0000  0.0000  2 Ir 2.80

=====

Record 6
Density functional theory data (GGA-PBE) for PmPrAg4 after structural relaxation.

Summary:
Calculated density: 7.60 g cm⁻³
Calculated volume: 26.1 Å³/atom
Magnetization: 0.002 μB per cell
E_form: 0.014 eV per atom
Offset from the most stable computed form: 0.273 eV per atom
SG: No. 10
E: -0.25543 Ry/atom

Cell lengths 3.9808, 3.9698, 9.9169 Å; angles 90.00, 90.00, 89.91 degrees
Last column: nearest neighbours and their distance in Å.
Sites, in units of the cell vectors:
Pm  0.0013  0.9972  0.4981  8 Ag 3.15
Pr  0.5014  0.4972  0.9981  8 Ag 3.20
Ag  0.5012  0.9974  0.2517  4 Ag 2.81
Ag  0.5013  0.9973  0.7446  4 Ag 2.81
Ag  0.0013  0.4973  0.7451  4 Ag 2.81
Ag  0.0012  0.4974  0.2512  4 Ag 2.81

=====

Record 7
Density functional theory data (GGA-PBE) for K2SbCl6 after structural relaxation.

Summary:
Calculated density: 2.13 g cm⁻³
Calculated volume: 35.8 Å³/atom
Magnetization: 1.305 μB per cell
SG: No. 136
Uncorrected formation energy: -1.282 eV per atom
E: -0.23629 Ry/atom

Cell lengths 6.9171, 6.9171, 13.4613 Å; angles 90.00, 90.00, 90.00 degrees
Last column: nearest neighbours and their distance in Å.
Sites, in units of the cell vectors:
K  0.0000  0.0000  0.3342  6 Cl 3.16-3.24
K  0.5000  0.5000  0.8342  6 Cl 3.16-3.24
K  0.5000  0.5000  0.1658  6 Cl 3.16-3.24
K  0.0000  0.0000  0.6658  6 Cl 3.16-3.24
Sb  0.0000  0.0000  0.0000  6 Cl 2.55
Sb  0.5000  0.5000  0.5000  6 Cl 2.55
Cl  0.3205  0.3205  0.3627  1 Sb 2.55
Cl  0.6795  0.6795  0.3627  1 Sb 2.55
Cl  0.1795  0.8205  0.8627  1 Sb 2.55
Cl  0.8205  0.1795  0.8627  1 Sb 2.55
Cl  0.1795  0.8205  0.1373  1 Sb 2.55
Cl  0.8205  0.1795  0.1373  1 Sb 2.55
Cl  0.3205  0.3205  0.6373  1 Sb 2.55
Cl  0.6795  0.6795  0.6373  1 Sb 2.55
Cl  0.2604  0.2604  0.0000  1 Sb 2.55
Cl  0.7396  0.7396  0.0000  1 Sb 2.55
Cl  0.2396  0.7604  0.5000  1 Sb 2.55
Cl  0.7604  0.2396  0.5000  1 Sb 2.55

=====

Record 8
Density functional theory data (GGA-PBE) for Tl2Si2I after structural relaxation.

Summary:
Calculated density: 7.12 g cm⁻³
Calculated volume: 27.6 Å³/atom
Magnetization: 0.000 μB per cell
Offset from the most stable computed form: 0.197 eV per atom
SG: No. 139
Uncorrected formation energy: 0.364 eV per atom
E: -0.22500 Ry/atom

Cell lengths 5.2695, 5.2695, 6.2122 Å; angles 64.90, 64.90, 90.00 degrees
Last column: nearest neighbours and their distance in Å.
Sites, in units of the cell vectors:
I  0.0000  0.0000  0.0000  8 Tl 3.62, 10 Si 3.80-3.90
Tl  0.7500  0.2500  0.5000  4 Si 2.95
Tl  0.2500  0.7500  0.5000  4 Si 2.95
Si  0.3826  0.3826  0.2348  1 Si 2.33
Si  0.6174  0.6174  0.7652  1 Si 2.33